Record 1
A relaxed structure of CsSe4S2, computed with PBE-GGA.

Properties
As for the symmetry: Cm (8). Its density of states at the Fermi level is 3.7 states/eV per cell. The formation energy without anion corrections is -0.15 eV/atom. As for the size of the total moment: 0.00 μB per formula unit.

Unit cell a=4.5930 b=7.8531 c=7.8530 alpha=53.72 beta=74.62 gamma=74.62
Sites, in units of the cell vectors:
S (0.1588, 0.5258, 0.5258)
S (0.8479, 0.4540, 0.4540)
Se (0.3239, 0.9133, 0.5079)
Se (0.3239, 0.5079, 0.9133)
Cs (0.9841, 0.0116, 0.0116)
Se (0.6807, 0.0259, 0.5615)
Se (0.6807, 0.5615, 0.0259)



Record 2
A relaxed structure of KIn3Hg, computed with PBE-GGA.

Properties
The energy relative to the elements is -0.006 eV per atom. As for the symmetry: P6_3/mmc (194). Its density of states at the Fermi level is 4.6 states/eV per cell. The value obtained for the offset from the most stable computed form is 131 meV/atom. As for the size of the total moment: 0.00 μB per formula unit.

Unit cell a=6.6531 b=7.4234 c=7.4230 alpha=120.01 beta=90.00 gamma=90.00
Sites, in units of the cell vectors:
In (0.7500, 0.6152, 0.8077)
K (0.2501, 0.3334, 0.6665)
In (0.2500, 0.8077, 0.6152)
In (0.2500, 0.3848, 0.1923)
K (0.7499, 0.6666, 0.3335)
In (0.2500, 0.8076, 0.1923)
In (0.7500, 0.1923, 0.3848)
Hg (0.0000, 0.0000, 0.0000)
In (0.7500, 0.1924, 0.8077)
Hg (0.5000, 0.0000, 0.0000)



Record 3
A relaxed structure of CaCe4Si4, computed with PBE-GGA.

Properties
As for the symmetry: P4_2/n (86). Its density of states at the Fermi level is 36.6 states/eV per cell. The formation energy without anion corrections is -0.38 eV/atom. As for the size of the total moment: 3.55 μB per formula unit.

Unit cell a=6.0648 b=8.7519 c=8.7519 alpha=90.00 beta=90.00 gamma=90.00
Site moments in Bohr magnetons follow the coordinates.
Sites, in units of the cell vectors:
Ce (0.6598, 0.8889, 0.6908)  0.73
Si (0.6602, 0.7775, 0.3681)  -0.01
Ca (0.0000, 0.0000, 0.0000)  0.02
Ce (0.6598, 0.1111, 0.3092)  0.73
Si (0.8398, 0.2775, 0.8681)  -0.01
Ce (0.8402, 0.6111, 0.8092)  0.73
Ce (0.1598, 0.1908, 0.6111)  0.73
Si (0.8398, 0.7225, 0.1319)  -0.01
Si (0.1602, 0.1319, 0.2775)  -0.01
Ce (0.3402, 0.6908, 0.1111)  0.73
Ce (0.3402, 0.3092, 0.8889)  0.73
Ce (0.1598, 0.8092, 0.3889)  0.73
Si (0.3398, 0.6319, 0.7775)  -0.01
Si (0.1602, 0.8681, 0.7225)  -0.01
Ce (0.8402, 0.3889, 0.1908)  0.73
Si (0.3398, 0.3681, 0.2225)  -0.01
Si (0.6602, 0.2225, 0.6319)  -0.01
Ca (0.5000, 0.5000, 0.5000)  0.02



Record 4
A relaxed structure of Tc2SnH, computed with PBE-GGA.

Properties
As for the symmetry: Fm-3m (225). Its density of states at the Fermi level is 5.6 states/eV per cell. The value obtained for the offset from the most stable computed form is 838 meV/atom. As for the size of the total moment: 0.00 μB per formula unit.

Unit cell a=4.3507 b=4.3507 c=4.3507 alpha=60.00 beta=60.00 gamma=60.00
Sites, in units of the cell vectors:
Sn (0.5000, 0.5000, 0.5000)
Tc (0.7500, 0.7500, 0.7500)
Tc (0.2500, 0.2500, 0.2500)
H (0.0000, 0.0000, 0.0000)



Record 5
A relaxed structure of CsYPtPb2, computed with PBE-GGA.

Properties
The energy relative to the elements is 1.228 eV per atom. As for the symmetry: P4/mmm (123). Its density of states at the Fermi level is 5.2 states/eV per cell. As for the size of the total moment: 0.00 μB per formula unit.

Unit cell a=6.1204 b=5.1702 c=6.1204 alpha=90.00 beta=90.00 gamma=90.00
Sites, in units of the cell vectors:
Cs (0.0000, 0.0000, 0.0000)
Pt (0.0000, 0.5000, 0.0000)
Pb (0.0000, 0.0000, 0.5000)
Pb (0.5000, 0.0000, 0.0000)
Y (0.5000, 0.5000, 0.5000)



Record 6
A relaxed structure of CePrSm4, computed with PBE-GGA.

Properties
The energy relative to the elements is 0.673 eV per atom. As for the symmetry: P4/mmm (123). Its density of states at the Fermi level is 15.8 states/eV per cell. As for the size of the total moment: 1.18 μB per formula unit.

Unit cell a=4.6006 b=4.6006 c=11.1066 alpha=90.00 beta=90.00 gamma=90.00
Site moments in Bohr magnetons follow the coordinates.
Sites, in units of the cell vectors:
Sm (0.4973, 0.0013, 0.7565)  0.02
Ce (0.4973, 0.5013, 0.0019)  1.00
Sm (0.9973, 0.5013, 0.2472)  0.02
Sm (0.4973, 0.0013, 0.2472)  0.02
Pr (0.9973, 0.0013, 0.5019)  -0.14
Sm (0.9973, 0.5013, 0.7565)  0.02



Record 7
A relaxed structure of Ba2PuO4F, computed with PBE-GGA.

Properties
As for the symmetry: C2/m (12). Its density of states at the Fermi level is 5.7 states/eV per cell. The formation energy without anion corrections is -2.97 eV/atom. As for the size of the total moment: 3.00 μB per formula unit.

Unit cell a=3.6075 b=6.0745 c=7.3783 alpha=67.02 beta=75.85 gamma=72.73
Site moments in Bohr magnetons follow the coordinates.
Sites, in units of the cell vectors:
O (0.6055, 0.7384, 0.0505)  -0.09
Ba (0.1788, 0.3405, 0.3020)  0.00
O (0.8611, 0.9990, 0.2788)  -0.12
F (0.5000, 0.5000, 0.5000)  0.00
Pu (0.0000, 0.0000, 0.0000)  3.40
O (0.1389, 0.0010, 0.7212)  -0.12
Ba (0.8212, 0.6595, 0.6980)  0.00
O (0.3945, 0.2616, 0.9495)  -0.09